1.
Computed, not measured: a relaxed structure of K2ReSe at the PBE-GGA level of DFT.

Summary:
- N(E_F) (states/eV per cell) = 6.591
- ΔE_f (raw) (eV per atom) = 0.4610
- electronic total energy (eV per cell) = -32.6

Lattice parameters (Å, degrees): 4.109 5.512 11.738 90.00 90.00 90.00
Space group Amm2 (No. 38)
One atom of each set of equivalent atoms:
1 K 0.000 0.000 0.000 [2 per cell]
2 K 0.500 0.000 0.290 [2 per cell]
3 Re 0.000 0.000 0.687 [2 per cell]
4 Se 0.500 0.000 0.591 [2 per cell]

2.
Computed, not measured: a relaxed structure of KRe2Se at the PBE-GGA level of DFT.

Summary:
- N(E_F) (states/eV per cell) = 3.285
- ΔE_f (raw) (eV per atom) = 0.5481
- electronic total energy (eV per cell) = -27.3

Lattice parameters (Å, degrees): 2.903 3.890 7.647 90.00 90.00 90.00
Space group Pmm2 (No. 25)
One atom of each set of equivalent atoms:
1 K 0.000 0.000 0.000 [1 per cell]
2 Re 0.000 0.000 0.493 [1 per cell]
3 Re 0.500 0.500 0.359 [1 per cell]
4 Se 0.500 0.500 0.688 [1 per cell]

3.
Computed, not measured: a relaxed structure of KRe2Se at the PBE-GGA level of DFT.

Summary:
- N(E_F) (states/eV per cell) = 9.764
- ΔE_f (raw) (eV per atom) = 1.2856
- electronic total energy (eV per cell) = -97.3

Lattice parameters (Å, degrees): 6.573 6.573 6.573 90.00 90.00 90.00
Space group F-43m (No. 216)
One atom of each set of equivalent atoms:
1 K 0.000 0.000 0.000 [4 per cell]
2 Re 0.000 0.000 0.500 [4 per cell]
3 Re 0.250 0.250 0.250 [4 per cell]
4 Se 0.250 0.250 0.750 [4 per cell]

4.
Computed, not measured: a relaxed structure of KRe2Se at the PBE-GGA level of DFT.

Summary:
- N(E_F) (states/eV per cell) = 5.986
- ΔE_f (raw) (eV per atom) = 0.9554
- electronic total energy (eV per cell) = -51.3

Lattice parameters (Å, degrees): 2.739 4.903 11.252 90.00 90.00 90.00
Space group Immm (No. 71)
One atom of each set of equivalent atoms:
1 K 0.000 0.000 0.000 [2 per cell]
2 Re 0.000 0.500 0.215 [4 per cell]
3 Se 0.000 0.000 0.500 [2 per cell]

5.
Computed, not measured: a relaxed structure of K2ReSe at the PBE-GGA level of DFT.

Summary:
- N(E_F) (states/eV per cell) = 4.254
- ΔE_f (raw) (eV per atom) = 0.6678
- electronic total energy (eV per cell) = -30.9

Lattice parameters (Å, degrees): 4.066 4.087 10.892 90.00 90.00 90.00
Space group Cmmm (No. 65)
One atom of each set of equivalent atoms:
1 K 0.000 0.000 0.241 [4 per cell]
2 Re 0.000 0.500 0.500 [2 per cell]
3 Se 0.000 0.500 0.000 [2 per cell]

6.
Computed, not measured: a relaxed structure of KRe2Se at the PBE-GGA level of DFT.

Summary:
- N(E_F) (states/eV per cell) = 7.070
- ΔE_f (raw) (eV per atom) = 1.4489
- electronic total energy (eV per cell) = -47.4

Lattice parameters (Å, degrees): 5.424 11.143 2.605 90.00 90.00 90.00
Space group Cmmm (No. 65)
One atom of each set of equivalent atoms:
1 K 0.000 0.000 0.000 [2 per cell]
2 Re 0.250 0.250 0.500 [4 per cell]
3 Se 0.000 0.500 0.000 [2 per cell]

> Which of these has the highest N(E_F)?

number 3

> Which of these has the lowest electronic total energy?

number 3

> Which of these has the highest electronic total energy?

number 2